Entry from Alexandria: an optimized crystal structure of Cu3BiC (GGA-PBEsol).

```
Cu3BiC
1.0
-2.6235 -2.8543 1.2691
3.0895 -2.6157 0.5037
0.4613 1.2851 3.8440
C Cu Bi
1 3 1
direct
0.0000 0.0000 0.0000 C
0.0000 0.5000 0.0000 Cu
0.5000 0.0000 0.0000 Cu
0.0000 0.0000 0.5000 Cu
0.5000 0.5000 0.5000 Bi
```

Results
The total magnetization is 0.000 μB/f.u. The value obtained for the density of states at the Fermi level is 0.608 states/eV/atom. The energy of formation from the pure elements is 0.608 eV per atom.